Computed, not measured: crystalline K2FeH12S2O14 at its relaxed geometry at the GGA+U level of DFT.

Computed properties:
Fermi-level density of states ... 0.0 states/eV per cell
Magnetization ... 8.00 μB per cell
Energy ... -5.3954 eV/atom

Lattice parameters (Å, degrees): 6.2652 12.3689 9.1349 90.00 103.48 90.00
Space group P2_1/c (No. 14)
Inequivalent atoms, fractional coordinates:
K: 0.1613 0.1565 0.3658 (multiplicity 4)
Fe: 0.5000 0.0000 0.0000 (multiplicity 2)
H: 0.1681 0.5659 0.6147 (multiplicity 4)
H: 0.1690 0.6462 0.4767 (multiplicity 4)
H: 0.1700 0.0906 0.7772 (multiplicity 4)
H: 0.4006 0.1255 0.7459 (multiplicity 4)
H: 0.4169 0.6054 0.2251 (multiplicity 4)
H: 0.4921 0.6938 0.3525 (multiplicity 4)
S: 0.2239 0.6382 0.9114 (multiplicity 4)
O: 0.0803 0.7359 0.9021 (multiplicity 4)
O: 0.1180 0.5622 0.7875 (multiplicity 4)
O: 0.2069 0.5713 0.5152 (multiplicity 4)
O: 0.2420 0.5828 0.0579 (multiplicity 4)
O: 0.3208 0.1151 0.8265 (multiplicity 4)
O: 0.4468 0.6707 0.8926 (multiplicity 4)
O: 0.4772 0.1189 0.1763 (multiplicity 4)